# 1
The following is a PBE calculation of HfAs2OsSe after structural relaxation, from Alexandria.

For the uncorrected formation energy, the calculation gives 0.665 eV per atom. The relative energy among the computed polymorphs is 0.0 kJ per mole of atoms. The value obtained for the density of states at the Fermi level is 1.016 states/eV/atom.

It has space group P4/mmm (No. 123), with a = 4.6547 Å, b = 4.6547 Å, c = 5.2259 Å, α = 90.00°, β = 90.00° and γ = 90.00°. The inequivalent atoms are Hf at (0.0000, 0.0000, 0.0000), As at (0.0000, 0.5000, 0.5000), Os at (0.5000, 0.5000, 0.5000) and Se at (0.5000, 0.5000, 0.0000).

# 2
The following is a PBE calculation of HfAs2OsSe after structural relaxation, from Alexandria.

For the uncorrected formation energy, the calculation gives 1.176 eV per atom. The relative energy among the computed polymorphs is 49.3 kJ per mole of atoms. The value obtained for the density of states at the Fermi level is 1.246 states/eV/atom.

It has space group P4/mmm (No. 123), with a = 5.1459 Å, b = 5.1459 Å, c = 4.9656 Å, α = 90.00°, β = 90.00° and γ = 90.00°. The inequivalent atoms are Hf at (0.0000, 0.0000, 0.0000), As at (0.0000, 0.5000, 0.0000), Os at (0.5000, 0.5000, 0.5000) and Se at (0.0000, 0.0000, 0.5000).

# 3
The following is a PBE calculation of HfAsOs2Se after structural relaxation, from Alexandria.

For the uncorrected formation energy, the calculation gives 1.112 eV per atom. The value obtained for the density of states at the Fermi level is 0.619 states/eV/atom.

It has space group P4/mmm (No. 123), with a = 4.5376 Å, b = 4.5376 Å, c = 5.0030 Å, α = 90.00°, β = 90.00° and γ = 90.00°. The inequivalent atoms are Hf at (0.0000, 0.0000, 0.0000), As at (0.0000, 0.0000, 0.5000), Os at (0.0000, 0.5000, 0.5000) and Se at (0.5000, 0.5000, 0.0000).

# 4
The following is a PBE calculation of Hf2TcAsOs after structural relaxation, from Alexandria.

The formation energy comes out at 850 meV per atom. The value obtained for the density of states at the Fermi level is 1.052 states/eV/atom.

It has space group P4/mmm (No. 123), with a = 4.9735 Å, b = 4.9735 Å, c = 4.5951 Å, α = 90.00°, β = 90.00° and γ = 90.00°. The inequivalent atoms are Hf at (0.0000, 0.5000, 0.0000), Tc at (0.0000, 0.0000, 0.0000), As at (0.5000, 0.5000, 0.5000) and Os at (0.0000, 0.0000, 0.5000).

Which formula does entry 3 have?
HfAsOs2Se